Entry 1:
VASP calculation (PBE) on a relaxed structure of ReOs2W.

- DOS(E_F) (states/eV/f.u.) = 4.6
- energy relative to the elements (eV per atom) = 0.04
- symmetry = I4/mmm (139)
- energy (eV for the cell shown) = -47.699

Cell: 4.781 4.781 4.781 Å, 131.63 131.63 70.82°
Element x y z (fractional)
Os1 0.000 0.000 0.000
Os2 0.500 0.500 0.000
Re1 0.750 0.250 0.500
W1 0.250 0.750 0.500

---

Entry 2:
VASP calculation (PBE) on a relaxed structure of ReS.

- DOS(E_F) (states/eV/f.u.) = 1.3
- symmetry = Cm (8)
- energy (eV for the cell shown) = -31.980

Cell: 3.961 2.923 5.225 Å, 90.00 108.39 90.00°
Element x y z (fractional)
Re1 0.247 0.000 0.653
Re2 0.247 0.500 0.153
S1 0.807 0.000 0.229
S2 0.807 0.500 0.729

---

Entry 3:
VASP calculation (PBE) on a relaxed structure of TbHo6Tm3.

- DOS(E_F) (states/eV/f.u.) = 14.9
- energy relative to the elements (eV per atom) = 0.13
- symmetry = Cmc2_1 (36)
- energy (eV for the cell shown) = -88.507

Cell: 6.298 11.380 11.380 Å, 130.47 90.00 90.00°
Element x y z (fractional)
Tb1 0.014 0.162 0.838
Tb2 0.514 0.838 0.162
Ho1 0.070 0.741 0.621
Ho2 0.570 0.621 0.741
Ho3 0.328 0.457 0.896
Ho4 0.828 0.896 0.457
Ho5 0.318 0.985 0.015
Ho6 0.785 0.301 0.699
Ho7 0.285 0.699 0.301
Ho8 0.818 0.015 0.985
Ho9 0.328 0.104 0.543
Ho10 0.828 0.543 0.104
Ho11 0.070 0.379 0.259
Ho12 0.570 0.259 0.379
Tm1 0.489 0.957 0.705
Tm2 0.989 0.705 0.957
Tm3 0.095 0.419 0.581
Tm4 0.595 0.581 0.419
Tm5 0.989 0.043 0.295
Tm6 0.489 0.295 0.043